## Ac2Cd2ReGe4 (GGA-PBE)

Data for a geometry-optimized Ac2Cd2ReGe4 structure.

Calculated values
E_tot: -4.7843 eV per atom
Crystal system: tetragonal
Volume: 23.4 A^3/atom
Fermi-level density of states: 6.4 states/eV/cell
Symmetry: No. 139

a b c (Å): 6.6677 6.6677 6.6677
angles (deg): 119.79 119.79 90.36
Last column: nearest neighbours and their distance in Å.
Sites, in units of the cell vectors:
Ac1 0.2500 0.7500 0.5000  8 Ge 3.34, 4 Cd 3.37
Ac2 0.7500 0.2500 0.5000  8 Ge 3.34, 4 Cd 3.37
Cd1 0.2019 0.2019 0.0000  1 Re 2.80, 4 Ge 2.89
Cd2 0.7981 0.7981 0.0000  1 Re 2.80, 4 Ge 2.89
Re1 0.5000 0.5000 0.0000  4 Ge 2.55, 2 Cd 2.80
Ge1 0.2309 0.2309 0.4618  1 Re 2.55
Ge2 0.2309 0.7691 0.0000  1 Re 2.55
Ge3 0.7691 0.2309 0.0000  1 Re 2.55
Ge4 0.7691 0.7691 0.5382  1 Re 2.55